# 1
BaLiCu2 after structural relaxation, computed with PBE.

Lattice parameters (Å, degrees): 3.424 3.424 7.508 90.00 90.00 90.00
Space group P4mm (No. 99)
One atom of each set of equivalent atoms:
Ba 0.000 0.000 0.000 x1
Li 0.500 0.500 0.615 x1
Cu 0.000 0.000 0.424 x1
Cu 0.500 0.500 0.297 x1

Computed properties:
formation energy from the elements: 0.1946 eV per atom

# 2
BaLi2Cu after structural relaxation, computed with PBE.

Lattice parameters (Å, degrees): 3.561 3.561 7.710 90.00 90.00 90.00
Space group P4/mmm (No. 123)
One atom of each set of equivalent atoms:
Ba 0.000 0.000 0.000 x1
Li 0.500 0.500 0.340 x2
Cu 0.000 0.000 0.500 x1

Computed properties:
formation energy from the elements: 0.1947 eV per atom

# 3
BaLi6Cu6 after structural relaxation, computed with PBE.

Lattice parameters (Å, degrees): 5.109 8.932 9.232 90.00 90.00 90.00
Space group Immm (No. 71)
One atom of each set of equivalent atoms:
Ba 0.000 0.000 0.000 x2
Li 0.000 0.000 0.351 x4
Li 0.000 0.279 0.500 x4
Li 0.000 0.361 0.000 x4
Cu 0.000 0.500 0.255 x4
Cu 0.250 0.250 0.250 x8

Computed properties:
formation energy from the elements: -0.0205 eV per atom

# 4
Ba2Li4Cu after structural relaxation, computed with PBE.

Lattice parameters (Å, degrees): 5.080 5.080 18.306 90.00 90.00 90.00
Space group I4/mmm (No. 139)
One atom of each set of equivalent atoms:
Ba 0.000 0.000 0.158 x4
Li 0.000 0.000 0.370 x4
Li 0.000 0.500 0.000 x4
Cu 0.000 0.000 0.500 x2

Computed properties:
formation energy from the elements: 0.1328 eV per atom

# 5
BaLi2Cu after structural relaxation, computed with PBE.

Lattice parameters (Å, degrees): 4.5641 4.5641 17.9077 90.00 90.00 120.00
Space group R-3m (No. 166, hexagonal axes)
One atom of each set of equivalent atoms:
Ba 0.0000 0.0000 0.0000 x3
Li 0.0000 0.0000 0.1932 x6
Cu 0.0000 0.0000 0.5000 x3

Computed properties:
formation energy from the elements: 0.0922 eV per atom

# 6
BaLiCu2 after structural relaxation, computed with PBE.

Lattice parameters (Å, degrees): 3.575 3.626 6.854 90.00 90.00 90.00
Space group Pmmm (No. 47)
One atom of each set of equivalent atoms:
Ba 0.000 0.000 0.000 x1
Li 0.000 0.000 0.500 x1
Cu 0.500 0.500 0.324 x2

Computed properties:
formation energy from the elements: 0.1195 eV per atom